DFT (PBE) results for a geometry-optimized HfCdAu structure.

Cell lengths 4.583, 4.583, 4.583 Å; angles 60.00, 60.00, 60.00 degrees
Fractional positions:
Hf 0.500 0.500 0.500
Au 0.250 0.250 0.250
Cd 0.000 0.000 0.000

Raw total energy, eV per cell: -14.54
Calculated volume, A^3/atom: 22.69
Formation enthalpy at 0 K, meV per atom: -132.2

DFT (PBE) results for a geometry-optimized Cd3SbC structure.

Cell lengths 5.742, 5.742, 5.742 Å; angles 90.00, 90.00, 90.00 degrees
Site moments in Bohr magnetons follow the coordinates.
Fractional positions:
Sb 0.000 0.000 0.000  0.01
C 0.500 0.500 0.500  1.07
Cd 0.000 0.500 0.000  0.00
Cd 0.000 0.000 0.500  0.00
Cd 0.500 0.000 0.000  0.02

Raw total energy, eV per cell: -8.12
Calculated volume, A^3/atom: 37.86
Formation energy (no corrections), kJ/mol of formula units: 769
ΔE to the lowest computed polymorph, meV/atom: 863

> What is the formula in the second record?

Cd3SbC